A | This record from Alexandria via LeMat-Bulk describes MgSi2Br at its PBEsol-relaxed geometry. The functional is meta-GGA SCAN.

Summary:
Space group = P4mm, No. 99

a b c (Å): 3.4386 3.4386 7.2854
angles (deg): 90.00 90.00 90.00
Atoms (fractional coordinates):
Mg 0.0000 0.0000 0.0000
Si 0.0000 0.0000 0.3581
Si 0.5000 0.5000 0.3115
Br 0.5000 0.5000 0.8121

B | This record from Alexandria via LeMat-Bulk describes MgSi2Br at its PBEsol-relaxed geometry. The functional is meta-GGA SCAN.

Summary:
Space group = Cmmm, No. 65

a b c (Å): 3.1391 3.1391 8.9500
angles (deg): 90.00 90.00 117.96
Atoms (fractional coordinates):
Mg 0.0000 0.0000 0.0000
Si 0.5000 0.5000 0.2533
Si 0.5000 0.5000 0.7467
Br 0.0000 0.0000 0.5000

A takes first place; second place is 68.4 kJ/mol of atoms up.

A | This record from Alexandria via LeMat-Bulk describes SrMgBr2 at its PBEsol-relaxed geometry. The functional is meta-GGA SCAN.

Summary:
Space group = P4/mmm, No. 123

a b c (Å): 5.1039 5.1039 4.2731
angles (deg): 90.00 90.00 90.00
Atoms (fractional coordinates):
Sr 0.0000 0.0000 0.0000
Mg 0.5000 0.5000 0.0000
Br 0.0000 0.5000 0.5000
Br 0.5000 0.0000 0.5000

B | This record from Alexandria via LeMat-Bulk describes SrMgBr2 at its PBEsol-relaxed geometry. The functional is meta-GGA SCAN.

Summary:
Space group = F-43m, No. 216

a b c (Å): 5.5234 5.5234 5.5234
angles (deg): 60.00 60.00 60.00
Atoms (fractional coordinates):
Sr 0.0000 0.0000 0.0000
Mg 0.2500 0.2500 0.2500
Br 0.5000 0.5000 0.5000
Br 0.7500 0.7500 0.7500

A takes first place; second place is 23.5 kJ/mol of atoms up.